# ScGa3O PBE relaxed
data_ScGa3O
_cell_length_a 4.406
_cell_length_b 4.406
_cell_length_c 4.406
_cell_angle_alpha 90.00
_cell_angle_beta 90.00
_cell_angle_gamma 90.00
_space_group_name_H-M_alt 'P 1'
_space_group_IT_number 1
loop_
_space_group_symop_operation_xyz
'x,y,z'
loop_
_atom_site_label
_atom_site_fract_x
_atom_site_fract_y
_atom_site_fract_z
Sc1 0.500 0.500 0.500
Ga1 0.500 0.000 0.000
Ga2 0.000 0.000 0.500
Ga3 0.000 0.500 0.000
O1 0.000 0.000 0.000
# SG ... Pm-3m (221)
# ΔE_f (raw) ... -0.38 eV/atom
# M_tot ... 0.000 Bohr magnetons per cell
# Energy above the lowest structure with this stoichiometry ... 0.0 meV per atom